Record 1
First-principles (GGA-PBE) data for an optimized crystal structure of DyMgNi2, as listed in Alexandria.

Geometry as POSCAR:
```
DyMgNi2
1.0
3.709 0.000 -0.026
0.000 3.933 0.000
-1.823 0.000 4.918
Dy Mg Ni
1 1 2
Cartesian
0.868 1.966 2.013
0.885 0.000 4.844
-0.974 1.966 4.163
-0.980 0.000 2.805
```

Computed properties:
Volume ... 17.887 Å³ per atom
N(E_F) ... 2.99 states/eV/f.u.

=====

Record 2
First-principles (GGA-PBE) data for an optimized crystal structure of DyMg8Ni2, as listed in Alexandria.

Geometry as POSCAR:
```
DyMg8Ni2
1.0
5.107 0.574 0.384
0.489 6.532 -2.924
0.449 0.151 7.158
Dy Mg Ni
1 8 2
Cartesian
2.554 0.287 0.192
4.898 1.032 2.521
4.909 2.702 -0.118
1.799 2.935 1.865
3.013 2.151 4.644
3.032 5.107 -0.026
4.246 4.322 2.753
1.136 4.556 4.736
1.146 6.226 2.097
0.476 4.566 0.183
0.461 2.118 4.051
```

Computed properties:
Volume ... 21.562 Å³ per atom
N(E_F) ... 7.35 states/eV/f.u.

=====

Record 3
First-principles (GGA-PBE) data for an optimized crystal structure of DyMgNiPb, as listed in Alexandria.

Geometry as POSCAR:
```
DyMgNiPb
1.0
4.958 0.000 0.000
2.479 4.293 0.000
2.479 1.431 4.048
Pb Ni Mg Dy
1 1 1 1
Cartesian
7.436 4.293 3.036
2.479 1.431 1.012
0.000 0.000 0.000
4.958 2.862 2.024
```

Computed properties:
Volume ... 21.541 Å³ per atom
N(E_F) ... 3.67 states/eV/f.u.

=====

Energy of formation readings, ordered: -0.3076 0.0076 -0.1626 eV/atom
Uncorrected energy readings, ordered: -4.747 -2.622 -4.084 eV/atom